Density functional theory data (PBE-GGA) for a relaxed Cd3Ag5F12 crystal.

Output
The calculation puts the volume at 304 Å³ per cell. The calculation puts the mass density at 6.04 g cm⁻³. Its electronic total energy is -3.489 eV/atom. The formation energy without anion corrections comes out at -1.516 eV/atom.

Geometry as CIF:
```
data_Cd3Ag5F12
_chemical_formula_sum 'Cd3 Ag5 F12'
_cell_length_a 9.9406
_cell_length_b 9.9406
_cell_length_c 3.5512
_cell_angle_alpha 90.00
_cell_angle_beta 90.00
_cell_angle_gamma 120.00
_space_group_name_H-M_alt 'P -6 2 m'
_space_group_IT_number 189
_space_group_name_Hall 'P -6 -2'
loop_
_atom_site_label
_atom_site_fract_x
_atom_site_fract_y
_atom_site_fract_z
_atom_site_occupancy
Cd1 0.0000 0.3470 0.0000 1
Ag1 0.0000 0.7263 0.5000 1
Ag2 0.3333 0.6667 0.5000 1
F1 0.0000 0.1908 0.5000 1
F2 0.0000 0.4823 0.5000 1
F3 0.1987 0.7428 0.0000 1
```